Entry 1:
{
  "formula": "BaNa2CdHg",
  "functional": "GGA-PBE",
  "state": "relaxed",
  "lattice_angstrom": [[5.719, 0.000, 0.000], [0.000, 5.719, 0.000], [0.000, 0.000, 6.551]],
  "species": ["Ba", "Na", "Na", "Cd", "Hg"],
  "frac_coords": [[0.000, 0.000, 0.000], [0.000, 0.500, 0.500], [0.500, 0.000, 0.500], [0.500, 0.500, 0.000], [0.000, 0.000, 0.500]],
  "spacegroup": "P4/mmm (123)"
}

Entry 2:
{
  "formula": "BaNaCdHg2",
  "functional": "GGA-PBE",
  "state": "relaxed",
  "lattice_angstrom": [[4.728, 0.000, 0.000], [0.000, 4.728, 0.000], [0.000, 0.000, 13.889]],
  "species": ["Ba", "Ba", "Na", "Na", "Cd", "Cd", "Hg", "Hg", "Hg", "Hg"],
  "frac_coords": [[0.000, 0.000, 0.000], [0.500, 0.500, 0.500], [0.000, 0.500, 0.750], [0.500, 0.000, 0.250], [0.000, 0.500, 0.250], [0.500, 0.000, 0.750], [0.000, 0.000, 0.389], [0.000, 0.000, 0.611], [0.500, 0.500, 0.111], [0.500, 0.500, 0.889]],
  "spacegroup": "I-4m2 (119)"
}

ΔE_f / eV per atom: -0.030, -0.331